A plane-wave DFT calculation with PBE was carried out for an optimized crystal structure of GaCoSCl2.

Summary:
Distance to the lowest polymorph of the same formula = 0 meV per atom
E_tot = -19.006 eV per cell
ρ = 3.6 Mg/m³

CIF file:
```
data_GaCoSCl2
_chemical_formula_sum 'Ga1 Co1 S1 Cl2'
_cell_length_a 4.950
_cell_length_b 4.950
_cell_length_c 4.382
_cell_angle_alpha 90.00
_cell_angle_beta 90.00
_cell_angle_gamma 90.00
_space_group_name_H-M_alt 'P 1'
_space_group_IT_number 1
_space_group_name_Hall 'P 1'
loop_
_atom_site_label
_atom_site_type_symbol
_atom_site_fract_x
_atom_site_fract_y
_atom_site_fract_z
Ga1 Ga 0.500 0.500 0.500
Cl1 Cl 0.000 0.500 0.000
Cl2 Cl 0.500 0.000 0.000
S1 S 0.000 0.000 0.500
Co1 Co 0.000 0.000 0.000
```